# 1
Pm3Ge6Pd2Pt | PBE | optimized geometry

It has space group P-3m1 (No. 164), with a = 5.9126 Å, b = 5.9126 Å, c = 8.3333 Å, α = 90.00°, β = 90.00° and γ = 120.00°. The distinct sites, in fractional coordinates, are Pm at (0.0000, 0.0000, 0.0000), Pm at (0.3333, 0.6667, 0.6127), Ge at (0.1844, 0.3688, 0.2800), Pd at (0.3333, 0.6667, 0.0193) and Pt at (0.0000, 0.0000, 0.5000).

The calculation puts the total energy at -64.234 eV/cell.

# 2
SrCaLa2Rh | PBE | optimized geometry

It has space group P4/mmm (No. 123), with a = 5.609 Å, b = 5.609 Å, c = 6.150 Å, α = 90.00°, β = 90.00° and γ = 90.00°. The distinct sites, in fractional coordinates, are Sr at (0.000, 0.000, 0.000), Ca at (0.500, 0.500, 0.000), La at (0.000, 0.500, 0.500) and Rh at (0.000, 0.000, 0.500).

The calculation puts the total energy at -22.228 eV/cell.